# 1
Density functional theory data (GGA-PBE) for crystalline VNiSb at its relaxed geometry. Values from VASP.

Structure (Quantum ESPRESSO input):
```
&SYSTEM
  ibrav = 0, nat = 3, ntyp = 3
/
ATOMIC_SPECIES
V 50.94 V.upf
Ni 58.69 Ni.upf
Sb 121.76 Sb.upf
CELL_PARAMETERS angstrom
0.000 2.948 2.948
2.948 0.000 2.948
2.948 2.948 0.000
ATOMIC_POSITIONS angstrom
V 0.000 0.000 0.000
Ni 4.422 4.422 4.422
Sb 2.948 2.948 2.948
```

Output
uncorrected formation energy = -11.3 kJ/mol of atoms
raw total energy = -19.37 eV/cell



# 2
Density functional theory data (GGA-PBE) for crystalline V4NiSb4 at its relaxed geometry. Values from VASP.

Structure (Quantum ESPRESSO input):
```
&SYSTEM
  ibrav = 0, nat = 9, ntyp = 3
/
ATOMIC_SPECIES
V 50.94 V.upf
Ni 58.69 Ni.upf
Sb 121.76 Sb.upf
CELL_PARAMETERS angstrom
4.259 0.000 0.000
-2.129 3.688 0.000
0.000 0.000 10.903
ATOMIC_POSITIONS angstrom
V 0.000 0.000 1.368
V 0.000 0.000 4.064
V 0.000 0.000 6.839
V 0.000 0.000 9.535
Ni 0.000 2.459 5.451
Sb 0.000 2.459 2.690
Sb 0.000 2.459 8.213
Sb 2.129 1.229 0.000
Sb 2.129 1.229 5.451
```

Output
uncorrected formation energy = -3.8 kJ/mol of atoms
raw total energy = -59.10 eV/cell